Compound: La3CdAu5
Source: Alexandria via LeMat-Bulk
Functional: GGA-PBE
Structure: relaxed

Output
The value obtained for the magnetic moment is 0.00 Bohr magnetons per cell.

The structure in extended XYZ format:
```
18
Lattice="9.0536 0.0000 0.0000 -4.5268 7.8407 0.0000 0.0000 0.0000 6.3321" Properties=species:S:1:pos:R:3 pbc="T T T"
La -1.6305 2.8241 1.5830
La -2.8963 5.0166 4.7491
La 3.2610 0.0000 1.5830
La 1.6305 2.8241 4.7491
La 5.7926 0.0000 4.7491
La 2.8963 5.0166 1.5830
Cd 0.0000 0.0000 0.0000
Cd 0.0000 0.0000 3.1661
Au -1.3648 2.3638 4.7491
Au -3.1621 5.4768 1.5830
Au 2.7295 0.0000 4.7491
Au 1.3648 2.3638 1.5830
Au 0.0000 5.2271 0.0000
Au 0.0000 5.2271 3.1661
Au 4.5268 2.6136 0.0000
Au 4.5268 2.6136 3.1661
Au 6.3241 0.0000 1.5830
Au 3.1621 5.4768 4.7491
```



Compound: LaCoB2Os
Source: Alexandria via LeMat-Bulk
Functional: GGA-PBE
Structure: relaxed

Output
The value obtained for the magnetic moment is 0.00 Bohr magnetons per cell.

The structure in extended XYZ format:
```
5
Lattice="-1.9115 1.9115 5.0974 1.9115 -1.9115 5.0974 1.9115 1.9115 -5.0974" Properties=species:S:1:pos:R:3 pbc="T T T"
La 0.0000 0.0000 0.0000
Co 0.0000 1.9115 2.5487
B 0.0000 0.0000 3.3526
B 0.0000 0.0000 6.8422
Os 1.9115 0.0000 2.5487
```



Compound: Ce3Pa
Source: Alexandria via LeMat-Bulk
Functional: GGA-PBE
Structure: relaxed

Output
The value obtained for the magnetic moment is 0.00 Bohr magnetons per cell.

The structure in extended XYZ format:
```
8
Lattice="2.2000 -10.4868 0.0000 2.2000 10.4868 0.0000 0.0000 0.0000 4.3948" Properties=species:S:1:pos:R:3 pbc="T T T"
Ce 2.2000 9.2088 3.2961
Ce 2.2000 6.6760 1.0987
Ce 2.2000 3.8733 1.0987
Ce 2.2000 -3.8733 3.2961
Ce 2.2000 -6.6760 3.2961
Ce 2.2000 -9.2088 1.0987
Pa 2.2000 1.2515 3.2961
Pa 2.2000 -1.2515 1.0987
```



Number 1: formation energy from the elements -0.75 eV per atom, energy -77.6 eV per cell. Number 2: formation energy from the elements -0.45 eV per atom, energy -38.9 eV per cell. Number 3: formation energy from the elements 0.13 eV per atom, energy -53.5 eV per cell.